Compound: Ba5Bi3Cl
Source: Alexandria via LeMat-Bulk
Functional: PBE-GGA
Structure: optimized geometry

a = 10.932 Å, b = 10.932 Å, c = 10.932 Å
α = 127.60°, β = 127.60°, γ = 77.28°
Atoms (fractional coordinates):
Ba 0.000 0.000 0.000
Ba 0.032 0.532 0.833
Ba 0.199 0.032 0.500
Ba 0.301 0.801 0.833
Ba 0.468 0.301 0.500
Ba 0.500 0.500 0.000
Ba 0.532 0.699 0.500
Ba 0.699 0.199 0.167
Ba 0.801 0.968 0.500
Ba 0.968 0.468 0.167
Bi 0.144 0.356 0.500
Bi 0.250 0.250 0.000
Bi 0.356 0.856 0.213
Bi 0.644 0.144 0.787
Bi 0.750 0.750 0.000
Bi 0.856 0.644 0.500
Cl 0.250 0.750 0.500
Cl 0.750 0.250 0.500

Computed properties:
Space-group type = I4/mcm (140)
D(E_F) = 0.04 states/eV/atom
ΔE_f (raw) = -1009 kJ/mol of formula units
Total magnetization = 0.00 μB per formula unit

Compound: TmNp4N5
Source: Alexandria via LeMat-Bulk
Functional: PBE-GGA
Structure: optimized geometry

a = 5.964 Å, b = 5.964 Å, c = 5.964 Å
α = 99.57°, β = 99.57°, γ = 131.86°
Atoms (fractional coordinates):
Tm 0.000 0.000 0.000
Np 0.201 0.601 0.801
Np 0.399 0.201 0.600
Np 0.601 0.799 0.400
Np 0.799 0.399 0.199
N 0.101 0.299 0.400
N 0.299 0.899 0.198
N 0.500 0.500 0.000
N 0.701 0.101 0.802
N 0.899 0.701 0.600

Computed properties:
Space-group type = I4/m (87)
D(E_F) = 1.71 states/eV/atom
ΔE_f (raw) = -1195 kJ/mol of formula units
Total magnetization = 13.35 μB per formula unit

Compound: AsPBr2
Source: Alexandria via LeMat-Bulk
Functional: PBE-GGA
Structure: optimized geometry

a = 3.789 Å, b = 3.789 Å, c = 8.043 Å
α = 90.00°, β = 90.00°, γ = 90.00°
Atoms (fractional coordinates):
As 0.000 0.000 0.000
P 0.500 0.500 0.022
Br 0.000 0.000 0.706
Br 0.500 0.500 0.302

Computed properties:
Space-group type = P4mm (99)
E above lowest polymorph = 41 meV per atom
D(E_F) = 0.05 states/eV/atom
ΔE_f (raw) = -47 kJ/mol of formula units
Total magnetization = 0.00 μB per formula unit

Compound: TmAl11Ir
Source: Alexandria via LeMat-Bulk
Functional: PBE-GGA
Structure: optimized geometry

a = 6.832 Å, b = 6.832 Å, c = 7.139 Å
α = 97.08°, β = 97.08°, γ = 135.52°
Atoms (fractional coordinates):
Tm 0.000 0.000 0.000
Al 0.000 0.000 0.500
Al 0.000 0.500 0.000
Al 0.006 0.356 0.358
Al 0.284 0.499 0.778
Al 0.356 0.006 0.358
Al 0.499 0.284 0.778
Al 0.500 0.000 0.000
Al 0.501 0.716 0.222
Al 0.644 0.994 0.642
Al 0.716 0.501 0.222
Al 0.994 0.644 0.642
Ir 0.500 0.500 0.500

Computed properties:
Space-group type = C2/m (12)
Formation energy from the elements = -0.260 eV/atom
D(E_F) = 0.41 states/eV/atom
Total magnetization = 0.00 μB per formula unit

Compound: Y2Ho3Sc4
Source: Alexandria via LeMat-Bulk
Functional: PBE-GGA
Structure: optimized geometry

a = 9.655 Å, b = 9.655 Å, c = 5.858 Å
α = 94.74°, β = 94.74°, γ = 69.66°
Atoms (fractional coordinates):
Y 0.013 0.728 0.684
Y 0.272 0.987 0.816
Y 0.728 0.013 0.184
Y 0.987 0.272 0.316
Ho 0.102 0.898 0.250
Ho 0.244 0.432 0.377
Ho 0.432 0.244 0.877
Ho 0.568 0.756 0.123
Ho 0.756 0.568 0.623
Ho 0.898 0.102 0.750
Sc 0.078 0.365 0.844
Sc 0.321 0.598 0.980
Sc 0.365 0.078 0.344
Sc 0.402 0.679 0.520
Sc 0.598 0.321 0.480
Sc 0.635 0.922 0.656
Sc 0.679 0.402 0.020
Sc 0.922 0.635 0.156

Computed properties:
Space-group type = C2/c (15)
Formation energy from the elements = 0.114 eV/atom
D(E_F) = 1.53 states/eV/atom
Total magnetization = 0.00 μB per formula unit

Compound: TaNiGeMo2
Source: Alexandria via LeMat-Bulk
Functional: PBE-GGA
Structure: optimized geometry

a = 4.484 Å, b = 4.484 Å, c = 4.551 Å
α = 90.00°, β = 90.00°, γ = 90.00°
Atoms (fractional coordinates):
Ta 0.000 0.000 0.000
Ni 0.000 0.000 0.500
Ge 0.500 0.500 0.000
Mo 0.000 0.500 0.500
Mo 0.500 0.000 0.500

Computed properties:
Space-group type = P4/mmm (123)
Formation energy from the elements = 1.089 eV/atom
D(E_F) = 0.98 states/eV/atom
Total magnetization = 0.00 μB per formula unit

Compound: YFeTc
Source: Alexandria via LeMat-Bulk
Functional: PBE-GGA
Structure: optimized geometry

a = 3.917 Å, b = 3.917 Å, c = 4.424 Å
α = 90.00°, β = 90.00°, γ = 120.00°
Atoms (fractional coordinates):
Y 0.000 0.000 0.000
Fe 0.667 0.333 0.499
Tc 0.333 0.667 0.501

Computed properties:
Space-group type = P3m1 (156)
E above lowest polymorph = 151 meV per atom
Formation energy from the elements = 0.050 eV/atom
D(E_F) = 0.86 states/eV/atom
Total magnetization = 0.00 μB per formula unit

Compound: CdTe3
Source: Alexandria via LeMat-Bulk
Functional: PBE-GGA
Structure: optimized geometry

a = 18.275 Å, b = 18.275 Å, c = 18.275 Å
α = 166.83°, β = 166.83°, γ = 18.67°
Atoms (fractional coordinates):
Cd 0.128 0.128 0.000
Cd 0.872 0.872 0.000
Te 0.000 0.500 0.500
Te 0.250 0.750 0.500
Te 0.374 0.374 0.000
Te 0.500 0.000 0.500
Te 0.626 0.626 0.000
Te 0.750 0.250 0.500

Computed properties:
Space-group type = I4/mmm (139)
D(E_F) = 0.63 states/eV/atom
ΔE_f (raw) = 24 kJ/mol of formula units
Total magnetization = 0.00 μB per formula unit

Compound: CoOs3Se
Source: Alexandria via LeMat-Bulk
Functional: PBE-GGA
Structure: optimized geometry

a = 4.445 Å, b = 4.445 Å, c = 4.445 Å
α = 90.00°, β = 90.00°, γ = 90.00°
Atoms (fractional coordinates):
Co 0.000 0.000 0.000
Os 0.000 0.000 0.500
Os 0.000 0.500 0.000
Os 0.500 0.000 0.000
Se 0.500 0.500 0.500

Computed properties:
Space-group type = Pm-3m (221)
E above lowest polymorph = 0 meV per atom
D(E_F) = 1.45 states/eV/atom
ΔE_f (raw) = 980 kJ/mol of formula units
Total magnetization = 1.97 μB per formula unit

Compound: Nd4Dy3TmTe8
Source: Alexandria via LeMat-Bulk
Functional: PBE-GGA
Structure: optimized geometry

a = 8.950 Å, b = 8.950 Å, c = 8.950 Å
α = 58.43°, β = 58.43°, γ = 58.43°
Atoms (fractional coordinates):
Nd 0.000 0.000 0.000
Nd 0.000 0.500 0.500
Nd 0.500 0.000 0.500
Nd 0.500 0.500 0.000
Dy 0.000 0.000 0.500
Dy 0.000 0.500 0.000
Dy 0.500 0.000 0.000
Tm 0.500 0.500 0.500
Te 0.246 0.246 0.246
Te 0.248 0.744 0.744
Te 0.256 0.256 0.752
Te 0.256 0.752 0.256
Te 0.744 0.248 0.744
Te 0.744 0.744 0.248
Te 0.752 0.256 0.256
Te 0.754 0.754 0.754

Computed properties:
Space-group type = R-3m (166)
D(E_F) = 0.68 states/eV/atom
ΔE_f (raw) = -2068 kJ/mol of formula units
Total magnetization = 0.00 μB per formula unit

Compound: Tb3Dy2Se6
Source: Alexandria via LeMat-Bulk
Functional: PBE-GGA
Structure: optimized geometry

a = 20.362 Å, b = 20.362 Å, c = 20.362 Å
α = 11.61°, β = 11.61°, γ = 11.61°
Atoms (fractional coordinates):
Tb 0.000 0.000 0.000
Tb 0.280 0.280 0.280
Tb 0.720 0.720 0.720
Dy 0.446 0.446 0.446
Dy 0.554 0.554 0.554
Se 0.082 0.082 0.082
Se 0.197 0.197 0.197
Se 0.361 0.361 0.361
Se 0.639 0.639 0.639
Se 0.803 0.803 0.803
Se 0.918 0.918 0.918

Computed properties:
Space-group type = R-3m (166)
E above lowest polymorph = 82 meV per atom
D(E_F) = 0.41 states/eV/atom
ΔE_f (raw) = -1898 kJ/mol of formula units
Total magnetization = 0.00 μB per formula unit

Compound: PrTm2Sc7
Source: Alexandria via LeMat-Bulk
Functional: PBE-GGA
Structure: optimized geometry

a = 8.880 Å, b = 8.880 Å, c = 6.702 Å
α = 101.32°, β = 101.32°, γ = 30.93°
Atoms (fractional coordinates):
Pr 0.000 0.000 0.000
Tm 0.198 0.198 0.602
Tm 0.802 0.802 0.398
Sc 0.000 0.000 0.500
Sc 0.201 0.201 0.100
Sc 0.398 0.398 0.200
Sc 0.400 0.400 0.697
Sc 0.600 0.600 0.303
Sc 0.602 0.602 0.800
Sc 0.799 0.799 0.900

Computed properties:
Space-group type = C2/m (12)
Formation energy from the elements = 0.061 eV/atom
D(E_F) = 1.84 states/eV/atom
Total magnetization = 0.00 μB per formula unit

Q: The highest D(E_F) belongs to which entry?
A: PrTm2Sc7

Q: Which formula does entry 10 have?
A: Nd4Dy3TmTe8